# 1
VASP calculation (PBE) on an optimized crystal structure of TmCuPdAu.

POSCAR file:
```
TmCuPdAu
1.0
0.0000 3.3040 3.3040
3.3040 0.0000 3.3040
3.3040 3.3040 0.0000
Tm Cu Pd Au
1 1 1 1
direct
0.0000 0.0000 0.0000
0.5000 0.5000 0.5000
0.7500 0.7500 0.7500
0.2500 0.2500 0.2500
```

DOS(E_F): 0.31 states/eV per atom
Calculated total energy: -19.351 eV for the cell shown
SG: F-43m (216)
ΔH_f (0 K): -0.58 eV/atom

# 2
VASP calculation (PBE) on an optimized crystal structure of VCuPdAu.

POSCAR file:
```
VCuPdAu
1.0
0.0000 3.1116 3.1116
3.1116 0.0000 3.1116
3.1116 3.1116 0.0000
V Cu Pd Au
1 1 1 1
direct
0.0000 0.0000 0.0000
0.5000 0.5000 0.5000
0.7500 0.7500 0.7500
0.2500 0.2500 0.2500
```

DOS(E_F): 1.14 states/eV per atom
Calculated total energy: -21.711 eV for the cell shown
SG: F-43m (216)
ΔH_f (0 K): -0.01 eV/atom

# 3
VASP calculation (PBE) on an optimized crystal structure of Zn5CuPd2Au2.

POSCAR file:
```
Zn5CuPd2Au2
1.0
10.5928 0.0000 0.0000
0.0000 10.5928 0.0000
0.0000 0.0000 2.8734
Zn Cu Pd Au
10 2 4 4
direct
0.0000 0.5000 0.0000
0.1225 0.1512 0.0000
0.1512 0.8775 0.0000
0.3488 0.3775 0.0000
0.3775 0.6512 0.0000
0.5000 0.0000 0.0000
0.6225 0.3488 0.0000
0.6512 0.6225 0.0000
0.8488 0.1225 0.0000
0.8775 0.8488 0.0000
0.0000 0.0000 0.5000
0.5000 0.5000 0.5000
0.1457 0.3543 0.5000
0.3543 0.8543 0.5000
0.6457 0.1457 0.5000
0.8543 0.6457 0.5000
0.1529 0.6529 0.5000
0.3471 0.1529 0.5000
0.6529 0.8471 0.5000
0.8471 0.3471 0.5000
```

DOS(E_F): 0.23 states/eV per atom
Calculated total energy: -59.081 eV for the cell shown
SG: P4/mbm (127)
ΔH_f (0 K): -0.21 eV/atom

# 4
VASP calculation (PBE) on an optimized crystal structure of Zn2CuPd5Au2.

POSCAR file:
```
Zn2CuPd5Au2
1.0
9.1592 0.0000 0.0000
0.0000 9.1592 0.0000
0.0000 0.0000 3.8070
Zn Cu Pd Au
4 2 10 4
direct
0.1295 0.3705 0.0000
0.3705 0.8705 0.0000
0.6295 0.1295 0.0000
0.8705 0.6295 0.0000
0.0000 0.0000 0.0000
0.5000 0.5000 0.0000
0.0000 0.5000 0.5000
0.0815 0.1929 0.5000
0.1929 0.9185 0.5000
0.3071 0.4185 0.5000
0.4185 0.6929 0.5000
0.5000 0.0000 0.5000
0.5815 0.3071 0.5000
0.6929 0.5815 0.5000
0.8071 0.0815 0.5000
0.9185 0.8071 0.5000
0.1678 0.6678 0.0000
0.3322 0.1678 0.0000
0.6678 0.8322 0.0000
0.8322 0.3322 0.0000
```

DOS(E_F): 0.45 states/eV per atom
Calculated total energy: -81.532 eV for the cell shown
SG: P4/mbm (127)
ΔH_f (0 K): -0.16 eV/atom

# 5
VASP calculation (PBE) on an optimized crystal structure of ZnCuPdAu2.

POSCAR file:
```
ZnCuPdAu2
1.0
2.7028 -5.9995 0.0000
2.7028 5.9995 0.0000
0.0000 0.0000 5.4042
Zn Cu Pd Au
2 2 2 4
direct
0.1580 0.8420 0.7500
0.8420 0.1580 0.2500
0.3495 0.6505 0.7500
0.6505 0.3495 0.2500
0.2162 0.7838 0.2500
0.7838 0.2162 0.7500
0.2498 0.2498 0.0000
0.2498 0.2498 0.5000
0.7502 0.7502 0.0000
0.7502 0.7502 0.5000
```

DOS(E_F): 0.29 states/eV per atom
Calculated total energy: -33.717 eV for the cell shown
SG: Cmcm (63)
ΔH_f (0 K): 0.05 eV/atom

# 6
VASP calculation (PBE) on an optimized crystal structure of ZrCuPd2Au.

POSCAR file:
```
ZrCuPd2Au
1.0
4.0931 0.0000 0.0000
0.0000 3.9641 0.0000
-2.0458 0.0000 10.1177
Zr Cu Pd Au
2 2 4 2
direct
0.1534 0.2500 0.3049
0.8466 0.7500 0.6951
0.3482 0.2500 0.6986
0.6518 0.7500 0.3014
0.0581 0.7500 0.1141
0.2508 0.7500 0.5015
0.7492 0.2500 0.4985
0.9419 0.2500 0.8859
0.4460 0.7500 0.8939
0.5540 0.2500 0.1061
```

DOS(E_F): 0.38 states/eV per atom
Calculated total energy: -57.344 eV for the cell shown
SG: P2_1/m (11)
ΔH_f (0 K): -0.47 eV/atom

# 7
VASP calculation (PBE) on an optimized crystal structure of Pm2Cu3Au.

POSCAR file:
```
Pm2Cu3Au
1.0
0.0000 4.3640 7.6721
3.7021 0.0000 7.6721
3.7021 4.3640 0.0000
Pm Cu Au
4 6 2
direct
0.2488 0.7512 0.7512
0.2500 0.2500 0.2500
0.7500 0.7500 0.7500
0.7512 0.2488 0.2488
0.1616 0.1616 0.8384
0.1618 0.6778 0.3222
0.3222 0.8382 0.1618
0.6778 0.1618 0.8382
0.8382 0.3222 0.6778
0.8384 0.8384 0.1616
0.3325 0.3325 0.6675
0.6675 0.6675 0.3325
```

E above lowest polymorph: 0 meV/atom
DOS(E_F): 0.54 states/eV per atom
Calculated total energy: -54.775 eV for the cell shown
SG: Fmmm (69)
ΔH_f (0 K): -0.39 eV/atom

# 8
VASP calculation (PBE) on an optimized crystal structure of PmCu2Au.

POSCAR file:
```
PmCu2Au
1.0
2.2248 1.2845 4.4923
-2.2248 1.2845 4.4923
0.0000 -2.5689 4.4923
Pm Cu Au
1 2 1
direct
0.0000 0.0000 0.0000
0.2128 0.2128 0.2128
0.7872 0.7872 0.7872
0.5000 0.5000 0.5000
```

E above lowest polymorph: 0 meV/atom
DOS(E_F): 0.50 states/eV per atom
Calculated total energy: -17.472 eV for the cell shown
SG: R-3m (166)
ΔH_f (0 K): -0.31 eV/atom

# 9
VASP calculation (PBE) on an optimized crystal structure of Pm5Cu2Au5.

POSCAR file:
```
Pm5Cu2Au5
1.0
8.1205 -2.0658 0.0000
8.1205 2.0658 0.0000
-7.6388 0.0000 8.5456
Pm Cu Au
5 2 5
direct
0.0000 0.0000 0.0000
0.0998 0.0998 0.4066
0.1985 0.1985 0.8161
0.8015 0.8015 0.1839
0.9002 0.9002 0.5934
0.3642 0.3642 0.7473
0.6358 0.6358 0.2527
0.2598 0.2598 0.3342
0.4283 0.4283 0.1427
0.5000 0.5000 0.5000
0.5717 0.5717 0.8573
0.7402 0.7402 0.6658
```

DOS(E_F): 0.55 states/eV per atom
Calculated total energy: -56.114 eV for the cell shown
SG: C2/m (12)
ΔH_f (0 K): -0.65 eV/atom

# 10
VASP calculation (PBE) on an optimized crystal structure of Pm2CuAu2.

POSCAR file:
```
Pm2CuAu2
1.0
5.3302 -2.0698 0.0000
5.3302 2.0698 0.0000
-4.4601 0.0000 10.5048
Pm Cu Au
4 2 4
direct
0.0078 0.0078 0.3408
0.1860 0.1860 0.1144
0.8140 0.8140 0.8856
0.9922 0.9922 0.6592
0.2941 0.2941 0.6774
0.7059 0.7059 0.3226
0.3462 0.3462 0.4405
0.4683 0.4683 0.1161
0.5317 0.5317 0.8839
0.6538 0.6538 0.5595
```

DOS(E_F): 0.57 states/eV per atom
Calculated total energy: -46.702 eV for the cell shown
SG: C2/m (12)
ΔH_f (0 K): -0.64 eV/atom

# 11
VASP calculation (PBE) on an optimized crystal structure of Pm3Cu2Au.

POSCAR file:
```
Pm3Cu2Au
1.0
3.6079 0.0000 0.0000
0.0000 3.6079 0.0000
0.0000 0.0000 10.8715
Pm Cu Au
3 2 1
direct
0.0000 0.0000 0.0000
0.0000 0.0000 0.3271
0.0000 0.0000 0.6729
0.5000 0.5000 0.1600
0.5000 0.5000 0.8400
0.5000 0.5000 0.5000
```

E above lowest polymorph: 0 meV/atom
DOS(E_F): 0.61 states/eV per atom
Calculated total energy: -27.939 eV for the cell shown
SG: P4/mmm (123)
ΔH_f (0 K): -0.37 eV/atom

# 12
VASP calculation (PBE) on an optimized crystal structure of Pm4Cu2Au5.

POSCAR file:
```
Pm4Cu2Au5
1.0
7.4638 0.0000 0.0000
0.0000 3.9112 0.0000
-0.1485 0.0000 8.7045
Pm Cu Au
4 2 5
direct
0.2147 0.0000 0.3640
0.2566 0.0000 0.8920
0.7434 0.0000 0.1080
0.7853 0.0000 0.6360
0.0670 0.5000 0.1247
0.9330 0.5000 0.8753
0.1315 0.5000 0.6313
0.4191 0.5000 0.1520
0.5000 0.5000 0.5000
0.5809 0.5000 0.8480
0.8685 0.5000 0.3687
```

DOS(E_F): 0.63 states/eV per atom
Calculated total energy: -50.505 eV for the cell shown
SG: P2/m (10)
ΔH_f (0 K): -0.63 eV/atom

# 13
VASP calculation (PBE) on an optimized crystal structure of PmCuAu4.

POSCAR file:
```
PmCuAu4
1.0
0.0000 3.9216 3.9216
3.9216 0.0000 3.9216
3.9216 3.9216 0.0000
Pm Cu Au
1 1 4
direct
0.0000 0.0000 0.0000
0.7500 0.7500 0.7500
0.3756 0.3756 0.3756
0.3756 0.3756 0.8732
0.3756 0.8732 0.3756
0.8732 0.3756 0.3756
```

DOS(E_F): 0.84 states/eV per atom
Calculated total energy: -23.747 eV for the cell shown
SG: F-43m (216)
ΔH_f (0 K): -0.30 eV/atom

# 14
VASP calculation (PBE) on an optimized crystal structure of Pm4Cu2Au.

POSCAR file:
```
Pm4Cu2Au
1.0
2.5344 1.4632 8.2526
-2.5344 1.4632 8.2526
0.0000 -2.9265 8.2526
Pm Cu Au
4 2 1
direct
0.1216 0.1216 0.1216
0.3725 0.3725 0.3725
0.6275 0.6275 0.6275
0.8784 0.8784 0.8784
0.2523 0.2523 0.2523
0.7477 0.7477 0.7477
0.5000 0.5000 0.5000
```

DOS(E_F): 1.15 states/eV per atom
Calculated total energy: -32.027 eV for the cell shown
SG: R-3m (166)
ΔH_f (0 K): -0.22 eV/atom

# 15
VASP calculation (PBE) on an optimized crystal structure of PmCuAu.

POSCAR file:
```
PmCuAu
1.0
5.2184 -2.2156 0.0000
5.2184 2.2156 0.0000
-4.5686 0.0000 5.4523
Pm Cu Au
2 2 2
direct
0.0442 0.0442 0.2914
0.9558 0.9558 0.7086
0.3526 0.3526 0.3088
0.6474 0.6474 0.6912
0.3226 0.3226 0.8739
0.6774 0.6774 0.1261
```

E above lowest polymorph: 0 meV/atom
DOS(E_F): 0.67 states/eV per atom
Calculated total energy: -27.490 eV for the cell shown
SG: C2/m (12)
ΔH_f (0 K): -0.54 eV/atom

# 16
VASP calculation (PBE) on an optimized crystal structure of Pm4Cu3Au.

POSCAR file:
```
Pm4Cu3Au
1.0
3.9266 0.0000 0.0000
0.0000 4.6172 0.0000
0.0000 0.0000 10.6407
Pm Cu Au
4 3 1
direct
0.0000 0.0000 0.0000
0.0000 0.5000 0.2724
0.5000 0.0000 0.4877
0.5000 0.5000 0.7754
0.0000 0.5000 0.5569
0.5000 0.0000 0.2024
0.5000 0.5000 0.0662
0.0000 0.0000 0.7087
```

DOS(E_F): 0.83 states/eV per atom
Calculated total energy: -37.324 eV for the cell shown
SG: Pmm2 (25)
ΔH_f (0 K): -0.34 eV/atom

# 17
VASP calculation (PBE) on an optimized crystal structure of Pm3Cu3Au2.

POSCAR file:
```
Pm3Cu3Au2
1.0
2.2066 -5.3180 0.0000
2.2066 5.3180 0.0000
0.0000 0.0000 14.8426
Pm Cu Au
6 6 4
direct
0.0918 0.9082 0.6008
0.0918 0.9082 0.8992
0.3660 0.6340 0.7500
0.6340 0.3660 0.2500
0.9082 0.0918 0.1008
0.9082 0.0918 0.3992
0.3533 0.6467 0.2500
0.3972 0.6028 0.5394
0.3972 0.6028 0.9606
0.6028 0.3972 0.0394
0.6028 0.3972 0.4606
0.6467 0.3533 0.7500
0.2021 0.7979 0.1054
0.2021 0.7979 0.3946
0.7979 0.2021 0.6054
0.7979 0.2021 0.8946
```

DOS(E_F): 0.67 states/eV per atom
Calculated total energy: -73.586 eV for the cell shown
SG: Cmcm (63)
ΔH_f (0 K): -0.46 eV/atom

# 18
VASP calculation (PBE) on an optimized crystal structure of PmCu2Au4.

POSCAR file:
```
PmCu2Au4
1.0
4.3637 -3.5274 0.0000
4.3637 3.5274 0.0000
-3.1009 0.0000 4.2238
Pm Cu Au
1 2 4
direct
0.0000 0.0000 0.0000
0.4998 0.4998 0.2496
0.5002 0.5002 0.7504
0.0003 0.3983 0.6998
0.9997 0.6017 0.3002
0.3983 0.0003 0.6998
0.6017 0.9997 0.3002
```

DOS(E_F): 0.53 states/eV per atom
Calculated total energy: -28.624 eV for the cell shown
SG: C2/m (12)
ΔH_f (0 K): -0.37 eV/atom

# 19
VASP calculation (PBE) on an optimized crystal structure of Pm6CuAu2.

POSCAR file:
```
Pm6CuAu2
1.0
8.0417 -3.5887 0.0000
8.0417 3.5887 0.0000
-1.5573 0.0000 4.7643
Pm Cu Au
6 1 2
direct
0.0821 0.5897 0.3359
0.2438 0.7562 0.0000
0.4103 0.9179 0.6641
0.5897 0.0821 0.3359
0.7562 0.2438 0.0000
0.9179 0.4103 0.6641
0.0000 0.0000 0.5000
0.3339 0.3339 0.8339
0.6661 0.6661 0.1661
```

DOS(E_F): 1.84 states/eV per atom
Calculated total energy: -41.025 eV for the cell shown
SG: C2/m (12)
ΔH_f (0 K): -0.21 eV/atom

# 20
VASP calculation (PBE) on an optimized crystal structure of PmCuAu11.

POSCAR file:
```
PmCuAu11
1.0
2.7876 -6.7668 0.0000
2.7876 6.7668 0.0000
-2.7637 0.0000 6.6358
Pm Cu Au
1 1 11
direct
0.0000 0.0000 0.0000
0.5000 0.5000 0.5000
0.0000 0.0000 0.5000
0.0000 0.5000 0.0000
0.0195 0.3553 0.3520
0.2978 0.5074 0.7824
0.3553 0.0195 0.3520
0.4926 0.7022 0.2176
0.5000 0.0000 0.0000
0.5074 0.2978 0.7824
0.6447 0.9805 0.6480
0.7022 0.4926 0.2176
0.9805 0.6447 0.6480
```

DOS(E_F): 0.33 states/eV per atom
Calculated total energy: -47.451 eV for the cell shown
SG: C2/m (12)
ΔH_f (0 K): -0.20 eV/atom